The following is a PBE calculation of a relaxed structure of Sr2Sc2Bi, from Alexandria.

The structure belongs to space group P4/mmm (No. 123); the cell edges are 6.3099, 6.3099 and 5.5534 Å and the angles 90.00°, 90.00° and 90.00°. The asymmetric unit holds Sr at (0.0000, 0.5000, 0.0000), Sc at (0.0000, 0.0000, 0.5000), Sc at (0.5000, 0.5000, 0.5000) and Bi at (0.0000, 0.0000, 0.0000).

For the mass density, the calculation gives 3.56 Mg/m³. As for the crystal system: tetragonal. For the density of states at the Fermi level, the calculation gives 8.7 states/eV/cell. As for the energy above the most stable polymorph in this dataset: 0.3883 eV/atom. Its energy relative to the elements is 0.30 eV per atom.